(1)
First-principles (PBE) data for an optimized crystal structure of HfSeNO2, as listed in Alexandria via LeMat-Bulk.

Output
symmetry: P4/mmm (123)
size of the total moment: 0.000 μB per cell
DFT total energy: -7.066 eV/atom

Cell lengths 4.0149, 4.0149, 4.4458 Å; angles 90.00, 90.00, 90.00 degrees
Positions (direct):
N: 0.0000 0.0000 0.5000
O: 0.0000 0.5000 0.0000
O: 0.5000 0.0000 0.0000
Hf: 0.0000 0.0000 0.0000
Se: 0.5000 0.5000 0.5000



(2)
First-principles (PBE) data for an optimized crystal structure of ZrMnCr, as listed in Alexandria via LeMat-Bulk.

Output
symmetry: Amm2 (38)
size of the total moment: 1.638 μB per cell
DFT total energy: -9.228 eV/atom

Cell lengths 5.0393, 5.0393, 8.0847 Å; angles 90.00, 90.00, 120.10 degrees
Last column: magnetic moment on the atom in μB.
Positions (direct):
Mn: 0.6597 0.8293 0.5000  0.81
Mn: 0.8328 0.1672 0.0000  0.13
Mn: 0.1707 0.3403 0.5000  0.81
Mn: 0.1707 0.8293 0.5000  0.85
Cr: 0.8336 0.6656 0.0000  0.10
Cr: 0.9995 0.0005 0.2596  -0.40
Cr: 0.3344 0.1664 0.0000  0.10
Cr: 0.9995 0.0005 0.7404  -0.40
Zr: 0.6670 0.3330 0.3135  -0.09
Zr: 0.3335 0.6665 0.8098  -0.04
Zr: 0.6670 0.3330 0.6865  -0.09
Zr: 0.3335 0.6665 0.1902  -0.04



(3)
First-principles (PBE) data for an optimized crystal structure of PuZrIr2, as listed in Alexandria via LeMat-Bulk.

Output
symmetry: Fm-3m (225)
size of the total moment: 4.982 μB per cell
DFT total energy: -10.688 eV/atom

Cell lengths 4.7675, 4.7675, 4.7662 Å; angles 59.99, 59.99, 60.00 degrees
Last column: magnetic moment on the atom in μB.
Positions (direct):
Zr: 0.5000 0.5000 0.5000  0.20
Ir: 0.2500 0.2500 0.2499  -0.21
Ir: 0.7500 0.7500 0.7501  -0.21
Pu: 0.0000 0.0000 0.0000  4.92



(4)
First-principles (PBE) data for an optimized crystal structure of InCuO2, as listed in Alexandria via LeMat-Bulk.

Output
symmetry: P6_3/mmc (194)
size of the total moment: 0.000 μB per cell
DFT total energy: -5.325 eV/atom

Cell lengths 3.3598, 3.3598, 11.6435 Å; angles 90.00, 90.00, 120.00 degrees
Positions (direct):
O: 0.6667 0.3333 0.5913
O: 0.3333 0.6667 0.4087
O: 0.6667 0.3333 0.9087
O: 0.3333 0.6667 0.0913
In: 0.0000 0.0000 0.0000
In: 0.0000 0.0000 0.5000
Cu: 0.6667 0.3333 0.7500
Cu: 0.3333 0.6667 0.2500



(5)
First-principles (PBE) data for an optimized crystal structure of DyHo2B6, as listed in Alexandria via LeMat-Bulk.

Output
symmetry: P6/mmm (191)
size of the total moment: 0.000 μB per cell
DFT total energy: -6.567 eV/atom

Cell lengths 3.8605, 5.6840, 5.6840 Å; angles 120.00, 90.00, 90.00 degrees
Positions (direct):
Dy: 0.0000 0.0000 0.0000
B: 0.5000 0.0000 0.6660
B: 0.5000 0.0000 0.3340
B: 0.5000 0.3340 0.0000
B: 0.5000 0.6660 0.6660
B: 0.5000 0.3340 0.3340
B: 0.5000 0.6660 0.0000
Ho: 0.0000 0.6667 0.3333
Ho: 0.0000 0.3333 0.6667



(6)
First-principles (PBE) data for an optimized crystal structure of AlAg2SbS4, as listed in Alexandria via LeMat-Bulk.

Output
symmetry: P1 (1)
size of the total moment: 0.000 μB per cell
DFT total energy: -4.159 eV/atom

Cell lengths 5.4344, 6.1071, 7.7012 Å; angles 122.60, 111.82, 90.19 degrees
Positions (direct):
S: 0.6527 0.5983 0.7600
S: 0.0685 0.1122 0.7319
S: 0.3610 0.8512 0.1805
S: 0.9145 0.4230 0.2152
Ag: 0.2743 0.1787 0.5196
Ag: 0.4887 0.0162 0.9621
Al: 0.9733 0.5097 0.9736
Sb: 0.6541 0.6976 0.4311



(7)
First-principles (PBE) data for an optimized crystal structure of ZrNp2PaN4, as listed in Alexandria via LeMat-Bulk.

Output
symmetry: P2/m (10)
size of the total moment: 6.484 μB per cell
DFT total energy: -11.054 eV/atom

Cell lengths 3.3984, 5.9364, 5.9137 Å; angles 109.03, 90.00, 90.00 degrees
Last column: magnetic moment on the atom in μB.
Positions (direct):
Np: 0.0000 0.5000 0.5000  3.28
Np: 0.5000 0.0000 0.5000  2.94
Pa: 0.5000 0.5000 0.0000  0.22
N: 0.5000 0.2371 0.2395  -0.07
N: 0.0000 0.7601 0.2430  -0.07
N: 0.0000 0.2399 0.7570  -0.07
N: 0.5000 0.7629 0.7605  -0.07
Zr: 0.0000 0.0000 0.0000  -0.04



(8)
First-principles (PBE) data for an optimized crystal structure of AcPmH8Pd2, as listed in Alexandria via LeMat-Bulk.

Output
symmetry: R-3m (166)
size of the total moment: 0.000 μB per cell
DFT total energy: -4.117 eV/atom

Cell lengths 4.7266, 4.7266, 7.4768 Å; angles 71.57, 71.57, 60.00 degrees
Positions (direct):
H: 0.5261 0.5267 0.8431
H: 0.5267 0.1042 0.8431
H: 0.1649 0.1649 0.5052
H: 0.8958 0.4739 0.1569
H: 0.4733 0.8958 0.1569
H: 0.1042 0.5261 0.8431
H: 0.4739 0.4733 0.1569
H: 0.8351 0.8351 0.4948
Pd: 0.7509 0.7509 0.7472
Pd: 0.2491 0.2491 0.2528
Ac: 0.5000 0.5000 0.5000
Pm: 0.0000 0.0000 0.0000



(9)
First-principles (PBE) data for an optimized crystal structure of YCu3S, as listed in Alexandria via LeMat-Bulk.

Output
symmetry: Pm-3m (221)
size of the total moment: 0.000 μB per cell
DFT total energy: -4.435 eV/atom

Cell lengths 4.4803, 4.4803, 4.4803 Å; angles 90.00, 90.00, 90.00 degrees
Positions (direct):
Cu: 0.0000 0.0000 0.5000
Cu: 0.0000 0.5000 0.0000
Cu: 0.5000 0.0000 0.0000
Y: 0.5000 0.5000 0.5000
S: 0.0000 0.0000 0.0000



(10)
First-principles (PBE) data for an optimized crystal structure of RbCoI3, as listed in Alexandria via LeMat-Bulk.

Output
symmetry: Pm-3m (221)
size of the total moment: 2.107 μB per cell
DFT total energy: -2.999 eV/atom

Cell lengths 5.5861, 5.5861, 5.5861 Å; angles 90.00, 90.00, 90.00 degrees
Last column: magnetic moment on the atom in μB.
Positions (direct):
Co: 0.0000 0.0000 0.0000  1.91
I: 0.5000 0.0000 0.0000  0.04
I: 0.0000 0.5000 0.0000  0.01
I: 0.0000 0.0000 0.5000  0.04
Rb: 0.5000 0.5000 0.5000  0.00



(11)
First-principles (PBE) data for an optimized crystal structure of PaN, as listed in Alexandria via LeMat-Bulk.

Output
symmetry: P2_1/m (11)
size of the total moment: 0.000 μB per cell
DFT total energy: -10.202 eV/atom

Cell lengths 3.6949, 5.0026, 4.2018 Å; angles 90.00, 116.39, 90.00 degrees
Positions (direct):
Pa: 0.1457 0.2500 0.2961
Pa: 0.8543 0.7500 0.7039
N: 0.1555 0.7500 0.3104
N: 0.8445 0.2500 0.6896



(12)
First-principles (PBE) data for an optimized crystal structure of Ho2Ni4C, as listed in Alexandria via LeMat-Bulk.

Output
symmetry: I4/mmm (139)
size of the total moment: 0.001 μB per cell
DFT total energy: -6.196 eV/atom

Cell lengths 3.8060, 3.8060, 7.8957 Å; angles 76.05, 76.05, 90.00 degrees
Positions (direct):
Ho: 0.6664 0.6664 0.6673
Ho: 0.3336 0.3336 0.3327
Ni: 0.1266 0.1266 0.7468
Ni: 0.5000 0.0000 0.0000
Ni: 0.8734 0.8734 0.2532
Ni: 0.0000 0.5000 0.0000
C: 0.0000 0.0000 0.0000



(13)
First-principles (PBE) data for an optimized crystal structure of Tm6Te3P2Au, as listed in Alexandria via LeMat-Bulk.

Output
symmetry: C2/m (12)
size of the total moment: 0.000 μB per cell
DFT total energy: -5.505 eV/atom

Cell lengths 7.1845, 7.1845, 7.2875 Å; angles 99.56, 99.56, 120.17 degrees
Positions (direct):
P: 0.6661 0.3339 0.0000
P: 0.3339 0.6661 0.0000
Tm: 0.5840 0.9292 0.7856
Tm: 0.0708 0.4160 0.2144
Tm: 0.7273 0.7273 0.2138
Tm: 0.4160 0.0708 0.2144
Tm: 0.2727 0.2727 0.7862
Tm: 0.9292 0.5840 0.7856
Te: 0.8348 0.1652 0.5000
Te: 0.1652 0.8348 0.5000
Te: 0.5000 0.5000 0.5000
Au: 0.0000 0.0000 0.0000



(14)
First-principles (PBE) data for an optimized crystal structure of TbBr, as listed in Alexandria via LeMat-Bulk.

Output
symmetry: P4/nmm (129)
size of the total moment: 0.000 μB per cell
DFT total energy: -4.296 eV/atom

Cell lengths 3.7632, 3.7637, 9.8682 Å; angles 67.58, 90.00, 90.00 degrees
Positions (direct):
Br: 0.7500 0.0507 0.1992
Br: 0.2500 0.9493 0.8008
Tb: 0.2500 0.3836 0.3663
Tb: 0.7500 0.6164 0.6337



(15)
First-principles (PBE) data for an optimized crystal structure of Tl5InBi, as listed in Alexandria via LeMat-Bulk.

Output
symmetry: P4/mmm (123)
size of the total moment: 0.000 μB per cell
DFT total energy: -2.586 eV/atom

Cell lengths 5.0514, 5.0514, 8.9745 Å; angles 90.00, 90.00, 90.00 degrees
Positions (direct):
Bi: 0.0000 0.0000 0.0000
Tl: 0.5000 0.0000 0.2685
Tl: 0.0000 0.5000 0.7315
Tl: 0.5000 0.0000 0.7315
Tl: 0.0000 0.5000 0.2685
Tl: 0.5000 0.5000 0.0000
In: 0.0000 0.0000 0.5000



(16)
First-principles (PBE) data for an optimized crystal structure of TbZrTe4, as listed in Alexandria via LeMat-Bulk.

Output
symmetry: P2/m (10)
size of the total moment: 0.000 μB per cell
DFT total energy: -5.235 eV/atom

Cell lengths 4.0984, 6.8029, 7.2501 Å; angles 90.67, 90.00, 90.00 degrees
Positions (direct):
Te: 0.0000 0.2611 0.3485
Te: 0.5000 0.7318 0.1833
Te: 0.5000 0.2682 0.8167
Te: 0.0000 0.7389 0.6515
Tb: 0.0000 0.0000 0.0000
Zr: 0.5000 0.0000 0.5000



(17)
First-principles (PBE) data for an optimized crystal structure of RbBaCr2Cl8, as listed in Alexandria via LeMat-Bulk.

Output
symmetry: P-3 (147)
size of the total moment: 7.000 μB per cell
DFT total energy: -4.490 eV/atom

Cell lengths 6.9160, 6.9160, 10.1078 Å; angles 90.00, 90.00, 120.00 degrees
Last column: magnetic moment on the atom in μB.
Positions (direct):
Rb: 0.0000 0.0000 0.0000  0.00
Cl: 0.3408 0.3286 0.2978  0.01
Cl: 0.3286 0.9878 0.7022  0.01
Cl: 0.9878 0.6592 0.2978  0.01
Cl: 0.6714 0.0122 0.2978  0.01
Cl: 0.6592 0.6714 0.7022  0.01
Cl: 0.0122 0.3408 0.7022  0.01
Cl: 0.6667 0.3333 0.0217  -0.01
Cl: 0.3333 0.6667 0.9783  -0.01
Cr: 0.3333 0.6667 0.7605  3.15
Cr: 0.6667 0.3333 0.2395  3.15
Ba: 0.0000 0.0000 0.5000  0.02



(18)
First-principles (PBE) data for an optimized crystal structure of Tb2MgAs, as listed in Alexandria via LeMat-Bulk.

Output
symmetry: P4/mmm (123)
size of the total moment: 0.001 μB per cell
DFT total energy: -4.505 eV/atom

Cell lengths 3.7978, 3.7978, 6.7541 Å; angles 90.00, 90.00, 90.00 degrees
Positions (direct):
Tb: 0.0000 0.0000 0.2323
Tb: 0.0000 0.0000 0.7677
Mg: 0.5000 0.5000 0.5000
As: 0.5000 0.5000 0.0000



(19)
First-principles (PBE) data for an optimized crystal structure of Mg2SbCl, as listed in Alexandria via LeMat-Bulk.

Output
symmetry: R-3m (166)
size of the total moment: 0.000 μB per cell
DFT total energy: -2.984 eV/atom

Cell lengths 6.9127, 6.9127, 6.9127 Å; angles 36.16, 36.16, 36.16 degrees
Positions (direct):
Mg: 0.9879 0.9879 0.9879
Mg: 0.5121 0.5121 0.5121
Sb: 0.2500 0.2500 0.2500
Cl: 0.7500 0.7500 0.7500



(20)
First-principles (PBE) data for an optimized crystal structure of Tc2SbCl, as listed in Alexandria via LeMat-Bulk.

Output
symmetry: R-3m (166)
size of the total moment: 0.000 μB per cell
DFT total energy: -6.241 eV/atom

Cell lengths 8.3169, 8.3169, 8.3169 Å; angles 21.40, 21.40, 21.40 degrees
Positions (direct):
Tc: 0.5009 0.5009 0.5009
Tc: 0.9991 0.9991 0.9991
Sb: 0.7500 0.7500 0.7500
Cl: 0.2500 0.2500 0.2500